a) La2Al3Zn5 PBE relaxed; calculated volume = 202.6 Å³ per cell; M_tot = 0.00 μB per formula unit
1.0
-3.416 -2.369 1.337
2.600 -2.212 2.723
-1.947 7.120 7.643
La Al Zn
2 3 5
Cartesian
-2.186 0.565 2.546
-0.169 4.265 7.127
-2.957 3.384 5.572
0.602 1.446 4.101
-0.974 3.560 3.822
-0.408 -2.291 2.030
0.000 0.000 0.000
-3.415 5.057 7.369
1.060 -0.227 2.305
-1.382 1.270 5.852

b) La2Al3Zn5 PBE relaxed; calculated volume = 403.4 Å³ per cell; M_tot = 0.00 μB per formula unit
1.0
5.749 0.000 2.175
2.459 8.053 2.188
-0.005 -0.080 8.699
La Al Zn
4 6 10
Cartesian
2.242 4.985 2.761
3.909 0.999 7.040
5.962 2.988 10.300
4.294 6.974 6.022
3.362 3.974 8.486
6.866 6.054 7.909
4.841 3.998 4.576
1.337 1.919 5.153
1.437 0.000 0.544
4.312 0.000 1.631
2.800 2.019 9.970
7.463 7.923 6.331
5.403 5.954 3.091
0.740 0.049 6.731
4.686 6.050 9.329
3.517 1.923 3.732
5.539 3.986 7.075
2.664 3.986 5.987
0.643 1.923 2.645
7.561 6.050 10.417

On energetic grounds, b) is preferred over the next structure by 2.1 kJ/mol of atoms.